Entry 1:
# NdDyTm

A geometry-optimized NdDyTm structure (GGA-PBE, Alexandria via LeMat-Bulk).

Calculated values
**Symmetry**: P2_1/m, No. 11
**Formation energy**: 38 meV/atom
**VASP energy**: -4.576 eV/atom

Cell and atoms, written as extended XYZ:
```
6
Lattice="3.5255 0.0000 0.0000 0.0000 5.4169 0.0000 -1.7638 0.0000 10.1554" Properties=species:S:1:pos:R:3 pbc="T T T"
Nd 0.0010 1.3542 4.1853
Nd 1.7607 4.0627 5.9701
Dy -0.0028 1.3542 7.8660
Dy 1.7645 4.0627 2.2893
Tm 0.0041 1.3542 0.8249
Tm 1.7576 4.0627 9.3305
```

Entry 2:
# Nd4DyTm8

A geometry-optimized Nd4DyTm8 structure (GGA-PBE, Alexandria via LeMat-Bulk).

Calculated values
**Symmetry**: Pm-3m, No. 221
**Formation energy**: 525 meV/atom
**VASP energy**: -4.047 eV/atom

Cell and atoms, written as extended XYZ:
```
13
Lattice="7.7568 0.0000 0.0000 0.0000 7.7568 0.0000 0.0000 0.0000 7.7568" Properties=species:S:1:pos:R:3 pbc="T T T"
Nd 0.0000 0.0000 0.0000
Nd 0.0000 3.8784 3.8784
Nd 3.8784 0.0000 3.8784
Nd 3.8784 3.8784 0.0000
Dy 3.8784 3.8784 3.8784
Tm 1.8654 1.8654 1.8654
Tm 1.8654 1.8654 5.8914
Tm 1.8654 5.8914 1.8654
Tm 1.8654 5.8914 5.8914
Tm 5.8914 1.8654 1.8654
Tm 5.8914 1.8654 5.8914
Tm 5.8914 5.8914 1.8654
Tm 5.8914 5.8914 5.8914
```

Entry 3:
# Nd4DyTm

A geometry-optimized Nd4DyTm structure (GGA-PBE, Alexandria via LeMat-Bulk).

Calculated values
**Symmetry**: C2/c, No. 15
**Formation energy**: 59 meV/atom
**VASP energy**: -4.632 eV/atom

Cell and atoms, written as extended XYZ:
```
12
Lattice="6.1197 -2.8615 0.0000 6.1197 2.8615 0.0000 -3.9633 0.0000 11.5428" Properties=species:S:1:pos:R:3 pbc="T T T"
Nd 0.6392 1.3576 8.2602
Nd 3.3363 1.4383 6.3370
Nd 2.9581 1.4383 10.9772
Nd 5.6552 1.3576 9.0540
Nd 2.6209 -1.3576 2.4888
Nd 5.3180 -1.4383 0.5656
Nd 4.9398 -1.4383 5.2058
Nd 7.6368 -1.3576 3.2826
Dy 5.1289 1.4434 2.8857
Dy 3.1472 -1.4434 8.6571
Tm 3.0598 1.4307 0.0000
Tm 1.0782 -1.4307 5.7714
```

Entry 4:
# Nd8DyTm2

A geometry-optimized Nd8DyTm2 structure (GGA-PBE, Alexandria via LeMat-Bulk).

Calculated values
**Symmetry**: C2/m, No. 12
**Formation energy**: 171 meV/atom
**VASP energy**: -4.528 eV/atom

Cell and atoms, written as extended XYZ:
```
11
Lattice="8.4465 -3.4004 0.0000 8.4465 3.4004 0.0000 -1.1747 0.0000 6.5985" Properties=species:S:1:pos:R:3 pbc="T T T"
Nd 0.5361 0.0000 6.0375
Nd 6.2795 1.7757 3.9211
Nd 3.5136 0.0000 4.4748
Nd 9.4387 1.7757 2.6774
Nd 6.2795 -1.7757 3.9211
Nd 12.2046 0.0000 2.1237
Nd 9.4387 -1.7757 2.6774
Nd 15.1820 0.0000 0.5610
Dy 8.4465 0.0000 0.0000
Tm 4.9016 0.0000 1.2661
Tm 10.8166 0.0000 5.3324
```

Entry 5:
# Nd10DyTm6

A geometry-optimized Nd10DyTm6 structure (GGA-PBE, Alexandria via LeMat-Bulk).

Calculated values
**Symmetry**: P-31m, No. 162
**Formation energy**: 129 meV/atom
**VASP energy**: -4.525 eV/atom

Cell and atoms, written as extended XYZ:
```
17
Lattice="9.8089 0.0000 0.0000 -4.9045 8.4948 0.0000 0.0000 0.0000 6.8864" Properties=species:S:1:pos:R:3 pbc="T T T"
Nd -1.3549 2.3468 2.1909
Nd -3.5495 6.1480 4.6956
Nd 2.7099 0.0000 2.1909
Nd 1.3549 2.3468 4.6956
Nd 0.0000 5.6632 0.0000
Nd 0.0000 5.6632 3.4432
Nd 4.9045 2.8316 0.0000
Nd 4.9045 2.8316 3.4432
Nd 7.0991 0.0000 4.6956
Nd 3.5495 6.1480 2.1909
Dy 0.0000 0.0000 0.0000
Tm -1.8024 3.1219 5.6105
Tm -3.1021 5.3729 1.2759
Tm 3.6048 0.0000 5.6105
Tm 1.8024 3.1219 1.2759
Tm 6.2041 0.0000 1.2759
Tm 3.1021 5.3729 5.6105
```

Entry 6:
# Nd5Dy4Tm

A geometry-optimized Nd5Dy4Tm structure (GGA-PBE, Alexandria via LeMat-Bulk).

Calculated values
**Symmetry**: C2/m, No. 12
**Formation energy**: 18 meV/atom
**VASP energy**: -4.654 eV/atom

Cell and atoms, written as extended XYZ:
```
10
Lattice="9.3534 -1.8032 0.0000 9.3534 1.8032 0.0000 -2.7979 0.0000 9.8208" Properties=species:S:1:pos:R:3 pbc="T T T"
Nd 0.0000 0.0000 0.0000
Nd 3.4643 0.0000 0.9862
Nd 5.5493 0.0000 6.8253
Nd 10.3595 0.0000 2.9955
Nd 12.4445 0.0000 8.8345
Dy 2.0523 0.0000 5.8899
Dy 6.9061 0.0000 2.0122
Dy 9.0027 0.0000 7.8085
Dy 13.8565 0.0000 3.9308
Tm -1.3990 0.0000 4.9104
```

Entry 7:
# Nd2DyTm7

A geometry-optimized Nd2DyTm7 structure (GGA-PBE, Alexandria via LeMat-Bulk).

Calculated values
**Symmetry**: Cmmm, No. 65
**Formation energy**: 159 meV/atom
**VASP energy**: -4.384 eV/atom

Cell and atoms, written as extended XYZ:
```
10
Lattice="3.2123 -14.3009 0.0000 3.2123 14.3009 0.0000 0.0000 0.0000 3.4955" Properties=species:S:1:pos:R:3 pbc="T T T"
Nd 3.2123 8.3359 0.0000
Nd 3.2123 -8.3359 0.0000
Dy 3.2123 0.0000 1.7478
Tm 0.0000 0.0000 0.0000
Tm 1.6314 2.7932 0.0000
Tm 3.2123 5.2507 1.7478
Tm 1.6314 -2.7932 0.0000
Tm 4.7932 2.7932 0.0000
Tm 3.2123 -5.2507 1.7478
Tm 4.7932 -2.7932 0.0000
```

Entry 8:
# NdDy2Tm8

A geometry-optimized NdDy2Tm8 structure (GGA-PBE, Alexandria via LeMat-Bulk).

Calculated values
**Symmetry**: C2/m, No. 12
**Formation energy**: 105 meV/atom
**VASP energy**: -4.417 eV/atom

Cell and atoms, written as extended XYZ:
```
11
Lattice="8.5999 -2.6948 0.0000 8.5999 2.6948 0.0000 -3.6895 0.0000 7.3998" Properties=species:S:1:pos:R:3 pbc="T T T"
Nd 0.0000 0.0000 0.0000
Dy 3.8785 0.0000 2.5277
Dy 9.6318 0.0000 4.8721
Tm 0.3904 0.0000 3.2855
Tm -0.4320 0.0000 6.6094
Tm 2.8949 0.0000 5.9329
Tm 7.2573 0.0000 2.0539
Tm 6.2529 0.0000 5.3459
Tm 10.6153 0.0000 1.4669
Tm 13.9422 0.0000 0.7904
Tm 13.1198 0.0000 4.1143
```

The highest formation energy belongs to which entry? Nd4DyTm8

What did the eighth record say?
# NdDy2Tm8

A geometry-optimized NdDy2Tm8 structure (GGA-PBE, Alexandria via LeMat-Bulk).

Calculated values
**Symmetry**: C2/m, No. 12
**Formation energy**: 105 meV/atom
**VASP energy**: -4.417 eV/atom

Cell and atoms, written as extended XYZ:
```
11
Lattice="8.5999 -2.6948 0.0000 8.5999 2.6948 0.0000 -3.6895 0.0000 7.3998" Properties=species:S:1:pos:R:3 pbc="T T T"
Nd 0.0000 0.0000 0.0000
Dy 3.8785 0.0000 2.5277
Dy 9.6318 0.0000 4.8721
Tm 0.3904 0.0000 3.2855
Tm -0.4320 0.0000 6.6094
Tm 2.8949 0.0000 5.9329
Tm 7.2573 0.0000 2.0539
Tm 6.2529 0.0000 5.3459
Tm 10.6153 0.0000 1.4669
Tm 13.9422 0.0000 0.7904
Tm 13.1198 0.0000 4.1143
```